Tc2IrW at its PBEsol-relaxed geometry. Source: the Alexandria database, functional SCAN.

Summary:
Total magnetic moment, μB per atom: 0.00
SG: I-4m2, No. 119
Density of states at the Fermi level, states/eV/f.u.: 3.1
Energy of formation, meV per atom: -155
V, Å³ per cell: 57.6
Excess energy over the best structure of this formula in the dataset, eV/atom: 0.030
Uncorrected energy, eV/atom: -52.88

Unit cell a=4.737 b=4.737 c=4.737 alpha=131.98 beta=131.98 gamma=70.27
Sites, in units of the cell vectors:
Tc: 0.000 0.000 0.000
Tc: 0.750 0.250 0.500
Ir: 0.250 0.750 0.500
W: 0.500 0.500 0.000

***

NbCoW3 at its PBEsol-relaxed geometry. Source: the Alexandria database, functional SCAN.

Summary:
Total magnetic moment, μB per atom: 0.00
SG: Pm-3m, No. 221
Density of states at the Fermi level, states/eV/f.u.: 4.2
Energy of formation, meV per atom: 1314
V, Å³ per cell: 86.1
Uncorrected energy, eV/atom: -50.59

Unit cell a=4.416 b=4.416 c=4.416 alpha=90.00 beta=90.00 gamma=90.00
Sites, in units of the cell vectors:
Nb: 0.000 0.000 0.000
Co: 0.500 0.500 0.500
W: 0.000 0.500 0.500
W: 0.500 0.000 0.500
W: 0.500 0.500 0.000

***

CaCrBiBr2 at its PBEsol-relaxed geometry. Source: the Alexandria database, functional SCAN.

Summary:
Total magnetic moment, μB per atom: 0.61
SG: P4/mmm, No. 123
Density of states at the Fermi level, states/eV/f.u.: 1.8
V, Å³ per cell: 139.8
Uncorrected formation energy, eV per atom: -0.667
Uncorrected energy, eV/atom: -29.78

Unit cell a=4.966 b=4.966 c=5.669 alpha=90.00 beta=90.00 gamma=90.00
Sites, in units of the cell vectors:
Ca: 0.000 0.000 0.000
Cr: 0.500 0.500 0.500
Bi: 0.500 0.500 0.000
Br: 0.000 0.500 0.500
Br: 0.500 0.000 0.500

***

SiSn3Ru at its PBEsol-relaxed geometry. Source: the Alexandria database, functional SCAN.

Summary:
Total magnetic moment, μB per atom: 0.39
SG: Pm-3m, No. 221
Density of states at the Fermi level, states/eV/f.u.: 2.9
V, Å³ per cell: 125.1
Uncorrected formation energy, eV per atom: 1.276
Uncorrected energy, eV/atom: -29.24

Unit cell a=5.002 b=5.002 c=5.002 alpha=90.00 beta=90.00 gamma=90.00
Sites, in units of the cell vectors:
Si: 0.000 0.000 0.000
Sn: 0.000 0.000 0.500
Sn: 0.000 0.500 0.000
Sn: 0.500 0.000 0.000
Ru: 0.500 0.500 0.500

***

La5Ag24 at its PBEsol-relaxed geometry. Source: the Alexandria database, functional SCAN.

Summary:
Total magnetic moment, μB per atom: 0.00
SG: I-43m, No. 217
Density of states at the Fermi level, states/eV/f.u.: 14.8
Energy of formation, meV per atom: -120
V, Å³ per cell: 566.1
Uncorrected energy, eV/atom: -33.51

Unit cell a=9.026 b=9.026 c=9.026 alpha=109.47 beta=109.47 gamma=109.47
Sites, in units of the cell vectors:
La: 0.000 0.000 0.000
La: 0.000 0.000 0.628
La: 0.000 0.628 0.000
La: 0.372 0.372 0.372
La: 0.628 0.000 0.000
Ag: 0.000 0.190 0.378
Ag: 0.000 0.378 0.190
Ag: 0.000 0.401 0.670
Ag: 0.000 0.670 0.401
Ag: 0.187 0.810 0.810
Ag: 0.190 0.000 0.378
Ag: 0.190 0.378 0.000
Ag: 0.269 0.599 0.599
Ag: 0.330 0.330 0.731
Ag: 0.330 0.731 0.330
Ag: 0.378 0.000 0.190
Ag: 0.378 0.190 0.000
Ag: 0.401 0.000 0.670
Ag: 0.401 0.670 0.000
Ag: 0.599 0.269 0.599
Ag: 0.599 0.599 0.269
Ag: 0.622 0.622 0.813
Ag: 0.622 0.813 0.622
Ag: 0.670 0.000 0.401
Ag: 0.670 0.401 0.000
Ag: 0.731 0.330 0.330
Ag: 0.810 0.187 0.810
Ag: 0.810 0.810 0.187
Ag: 0.813 0.622 0.622

***

Cu2OsAu at its PBEsol-relaxed geometry. Source: the Alexandria database, functional SCAN.

Summary:
Total magnetic moment, μB per atom: 0.00
SG: Imm2, No. 44
Density of states at the Fermi level, states/eV/f.u.: 2.9
Energy of formation, meV per atom: 399
V, Å³ per cell: 54.0
Excess energy over the best structure of this formula in the dataset, eV/atom: 0.036
Uncorrected energy, eV/atom: -42.46

Unit cell a=5.252 b=5.252 c=5.252 alpha=151.09 beta=129.06 gamma=59.64
Sites, in units of the cell vectors:
Cu: 0.000 0.000 0.000
Cu: 0.770 0.270 0.500
Os: 0.247 0.747 0.500
Au: 0.517 0.517 0.000

***

Mg2ScHg at its PBEsol-relaxed geometry. Source: the Alexandria database, functional SCAN.

Summary:
Total magnetic moment, μB per atom: 0.00
SG: Pmmm, No. 47
Density of states at the Fermi level, states/eV/f.u.: 2.2
Energy of formation, meV per atom: -360
V, Å³ per cell: 83.1
Uncorrected energy, eV/atom: -23.45

Unit cell a=3.942 b=4.525 c=4.659 alpha=90.00 beta=90.00 gamma=90.00
Sites, in units of the cell vectors:
Mg: 0.000 0.000 0.000
Mg: 0.500 0.500 0.000
Sc: 0.000 0.500 0.500
Hg: 0.500 0.000 0.500

***

OsRu2Br at its PBEsol-relaxed geometry. Source: the Alexandria database, functional SCAN.

Summary:
Total magnetic moment, μB per atom: 0.00
SG: F-43m, No. 216
Density of states at the Fermi level, states/eV/f.u.: 5.3
V, Å³ per cell: 58.7
Excess energy over the best structure of this formula in the dataset, eV/atom: 0.439
Uncorrected formation energy, eV per atom: 1.372
Uncorrected energy, eV/atom: -38.88

Unit cell a=4.363 b=4.363 c=4.363 alpha=60.00 beta=60.00 gamma=60.00
Sites, in units of the cell vectors:
Os: 0.000 0.000 0.000
Ru: 0.500 0.500 0.500
Ru: 0.750 0.750 0.750
Br: 0.250 0.250 0.250

***

Look up the total magnetic moment of the sixth one.
0.00 μB per atom